# 1
4
Lattice="2.764 0.000 0.000 0.000 3.588 0.000 0.000 0.000 6.605" Properties=species:S:1:pos:R:3 comment="Os2RuCl PBE relaxed" formation_energy_uncorrected_ev_per_atom=0.967 relative_energy_mev_per_atom=459.4 dos_ef_per_ev_atom=1.158 pbc="T T T"
Os 0.000 0.000 1.318
Os 0.000 0.000 5.287
Ru 1.382 1.794 0.000
Cl 1.382 1.794 3.302


# 2
14
Lattice="7.496 0.000 0.000 0.000 7.496 0.000 0.000 0.000 7.496" Properties=species:S:1:pos:R:3 comment="TlZn3Hg3 PBE relaxed" e_tot_ev_per_cell=-10.51 dos_ef_per_ev_atom=0.502 pbc="T T T"
Tl 0.000 0.000 0.000
Tl 3.748 3.748 3.748
Zn 0.000 1.874 3.748
Zn 0.000 5.622 3.748
Zn 1.874 3.748 0.000
Zn 3.748 0.000 1.874
Zn 3.748 0.000 5.622
Zn 5.622 3.748 0.000
Hg 0.000 3.748 1.874
Hg 0.000 3.748 5.622
Hg 1.874 0.000 3.748
Hg 3.748 1.874 0.000
Hg 3.748 5.622 0.000
Hg 5.622 0.000 3.748


# 3
5
Lattice="4.722 0.000 0.000 0.000 4.722 0.000 0.000 0.000 4.722" Properties=species:S:1:pos:R:3 comment="LaOs4 PBE relaxed" relative_energy_mev_per_atom=3246.5 dos_ef_per_ev_atom=1.965 pbc="T T T"
La 0.000 0.000 0.000
Os 0.000 0.000 2.361
Os 0.000 2.361 0.000
Os 2.361 0.000 0.000
Os 2.361 2.361 2.361


# 4
5
Lattice="4.330 0.000 0.000 0.000 4.330 0.000 0.000 0.000 4.030" Properties=species:S:1:pos:R:3 comment="CaScO2F PBE relaxed" formation_energy_uncorrected_ev_per_atom=-2.033 dos_ef_per_ev_atom=0.182 pbc="T T T"
Ca 0.000 0.000 0.000
Sc 2.165 2.165 2.015
O 0.000 2.165 0.000
O 2.165 0.000 0.000
F 0.000 0.000 2.015